[1]
CeU4Se8 (PBE, relaxed); calculated volume = 427.9 Å³/cell; M_tot = 0.92 μB/atom; Fermi-level density of states = 23.999 states/eV/cell; final energy = -7.236 eV per atom; energy relative to the elements, uncorrected = -1458 kJ/mol of formula units; space group = F-43m, No. 216
1.0
-0.533 -3.925 7.474
-0.192 -8.450 0.336
6.650 -4.265 3.021
Ce U Se
1 4 8
Direct
0.750 0.750 0.750
0.370 0.370 0.891
0.370 0.891 0.370
0.370 0.370 0.370
0.891 0.370 0.370
0.132 0.132 0.132
0.132 0.603 0.132
0.613 0.161 0.613
0.603 0.132 0.132
0.613 0.613 0.161
0.132 0.132 0.603
0.613 0.613 0.613
0.161 0.613 0.613

=====

[2]
Rb2BaInBr8 (PBE, relaxed); calculated volume = 486.3 Å³/cell; M_tot = 0.09 μB/atom; final energy = -3.008 eV per atom; energy relative to the elements, uncorrected = -1555 kJ/mol of formula units; space group = P-1, No. 2
1.0
-6.667 2.318 -3.371
-0.933 -7.059 1.655
-2.501 0.039 8.853
Br Rb In Ba
8 2 1 1
Direct
0.982 0.719 0.271
0.440 0.169 0.508
0.560 0.831 0.492
0.930 0.246 0.153
0.070 0.754 0.847
0.018 0.281 0.729
0.347 0.132 0.080
0.653 0.868 0.920
0.359 0.605 0.176
0.641 0.395 0.824
0.000 0.000 0.000
0.000 0.000 0.500

=====

[3]
Ce3HoSe6 (PBE, relaxed); calculated volume = 593.7 Å³/cell; M_tot = 0.30 μB/atom; Fermi-level density of states = 39.652 states/eV/cell; final energy = -6.103 eV per atom; energy relative to the elements, uncorrected = -1712 kJ/mol of formula units; space group = R-3, No. 148
1.0
-6.134 5.804 1.129
-0.276 -3.706 7.666
6.783 5.010 1.211
Se Ce Ho
12 6 2
Direct
0.047 0.679 0.934
0.679 0.934 0.047
0.576 0.436 0.816
0.564 0.184 0.424
0.424 0.564 0.184
0.953 0.321 0.066
0.436 0.816 0.576
0.934 0.047 0.679
0.816 0.576 0.436
0.321 0.066 0.953
0.066 0.953 0.321
0.184 0.424 0.564
0.621 0.288 0.115
0.115 0.621 0.288
0.288 0.115 0.621
0.712 0.885 0.379
0.379 0.712 0.885
0.885 0.379 0.712
0.000 0.000 0.000
0.500 0.500 0.500

=====

[4]
ZnGaSeS (PBE, relaxed); calculated volume = 97.5 Å³/cell; M_tot = 0.00 μB/atom; Fermi-level density of states = 1.728 states/eV/cell; final energy = -3.365 eV per atom; energy relative to the elements, uncorrected = -149 kJ/mol of formula units; space group = P3m1, No. 156
1.0
3.880 0.012 0.013
1.929 3.367 0.013
-0.029 -0.017 7.478
Ga Se S Zn
1 1 1 1
Direct
0.239 0.239 0.508
0.572 0.572 0.068
0.906 0.906 0.637
0.239 0.239 0.172

=====

[5]
YHfTl (PBE, relaxed); calculated volume = 160.8 Å³/cell; M_tot = 0.13 μB/atom; Fermi-level density of states = 5.022 states/eV/cell; final energy = -6.253 eV per atom; distance to the lowest polymorph of the same formula = 59 meV/atom; E_form = 0.008 eV per atom; space group = I4/mmm, No. 139
1.0
3.442 0.000 0.000
0.000 3.442 0.000
-1.721 -1.721 13.573
Y Hf Tl
2 2 2
Direct
0.435 0.435 0.870
0.565 0.565 0.130
0.715 0.715 0.430
0.285 0.285 0.570
0.141 0.141 0.281
0.859 0.859 0.719

=====

[6]
CsTl3 (PBE, relaxed); calculated volume = 153.2 Å³/cell; M_tot = 0.00 μB/atom; Fermi-level density of states = 2.442 states/eV/cell; final energy = -1.967 eV per atom; E_form = 0.021 eV per atom; space group = Immm, No. 71
1.0
3.663 0.000 0.000
0.000 6.623 0.000
-1.832 -3.311 6.313
Tl Cs
3 1
Direct
0.223 0.640 0.446
0.500 0.417 0.000
0.777 0.193 0.554
0.000 0.917 0.000